No. 1
HfTlIN2 | PBE | relaxed

Unit cell a=4.330 b=4.330 c=6.011 alpha=90.00 beta=90.00 gamma=90.00
Each line ends with the local moment (μB).
Positions (direct):
I1 0.000 0.000 0.500  0.00
Tl1 0.500 0.500 0.500  -0.01
Hf1 0.000 0.000 0.000  -0.05
N1 0.000 0.500 0.000  0.34
N2 0.500 0.000 0.000  0.34

Output
Raw total energy (eV per atom): -5.88
Density (kg/m3): 7924
Formation energy from raw total energies (kJ/mol of atoms): 22.0
Total magnetic moment (μB per formula unit): 0.919
Polymorph energy (0 for the lowest one) (kJ/mol of atoms): 0.0

No. 2
HfVI2N | PBE | relaxed

Unit cell a=5.860 b=5.860 c=3.959 alpha=90.00 beta=90.00 gamma=90.00
Each line ends with the local moment (μB).
Positions (direct):
I1 0.000 0.500 0.000  -0.02
I2 0.500 0.000 0.000  -0.02
N1 0.000 0.000 0.500  0.02
Hf1 0.000 0.000 0.000  0.03
V1 0.500 0.500 0.500  3.23

Output
Raw total energy (eV per atom): -5.83
Density (kg/m3): 6072
Formation energy from raw total energies (kJ/mol of atoms): 26.2
Total magnetic moment (μB per formula unit): 4.152
Polymorph energy (0 for the lowest one) (kJ/mol of atoms): 0.0

No. 3
HfVI2N | PBE | relaxed

Unit cell a=5.562 b=5.562 c=3.634 alpha=90.00 beta=90.00 gamma=90.00
Each line ends with the local moment (μB).
Positions (direct):
I1 0.000 0.500 0.000  -0.01
I2 0.500 0.000 0.000  -0.01
N1 0.000 0.000 0.500  -0.16
Hf1 0.500 0.500 0.500  -0.36
V1 0.000 0.000 0.000  1.37

Output
Raw total energy (eV per atom): -5.74
Density (kg/m3): 7347
Formation energy from raw total energies (kJ/mol of atoms): 34.3
Total magnetic moment (μB per formula unit): 0.744
Polymorph energy (0 for the lowest one) (kJ/mol of atoms): 8.1